Entry 1:
CaBe3Rh3, relaxed, DFT PBE; VASP energy = -5.191 eV per atom; theoretical density = 5.653 g cm⁻³; M_tot = 0.00 μB/atom; DFT formation energy = -1.10 eV per formula unit
1.0
-4.2273 -4.1750 -1.1084
-0.6191 -0.9492 5.9367
-4.2751 4.2658 0.2363
Be Rh Ca
6 6 2
Direct
0.5000 0.2500 0.0000 Be
0.2500 0.0000 0.5000 Be
0.0000 0.5000 0.7500 Be
0.7500 0.0000 0.5000 Be
0.0000 0.5000 0.2500 Be
0.5000 0.7500 0.0000 Be
0.2500 0.5000 0.0000 Rh
0.5000 0.0000 0.7500 Rh
0.0000 0.2500 0.5000 Rh
0.5000 0.0000 0.2500 Rh
0.7500 0.5000 0.0000 Rh
0.0000 0.7500 0.5000 Rh
0.5000 0.5000 0.5000 Ca
0.0000 0.0000 0.0000 Ca

***

Entry 2:
Ga2Pb3Br8, relaxed, DFT PBE; VASP energy = -3.142 eV per atom; theoretical density = 4.709 g cm⁻³; raw formation energy = -0.7908 eV per atom; M_tot = 0.00 μB/atom
1.0
7.6018 0.0472 0.0801
0.0878 7.6686 3.7010
0.0841 0.0901 8.5145
Br Ga Pb
8 2 3
Direct
0.3333 0.6416 0.1103 Br
0.6667 0.3584 0.8897 Br
0.6667 0.8897 0.3584 Br
0.3333 0.1103 0.6416 Br
0.1628 0.1188 0.1188 Br
0.8490 0.3827 0.3827 Br
0.8372 0.8812 0.8812 Br
0.1510 0.6173 0.6173 Br
0.5192 0.2806 0.2806 Ga
0.4808 0.7194 0.7194 Ga
0.0000 0.2547 0.7453 Pb
0.5000 0.0000 0.0000 Pb
0.0000 0.7453 0.2547 Pb

***

Entry 3:
CeThGa6, relaxed, DFT PBE; VASP energy = -4.484 eV per atom; theoretical density = 7.969 g cm⁻³; M_tot = 0.05 μB/atom; DFT formation energy = -4.35 eV per formula unit
1.0
4.5949 0.0000 0.0000
0.0000 5.6734 -3.0330
0.0000 -0.2077 6.4298
Ga Ce Th
6 1 1
Direct
0.0000 0.6075 0.9648 Ga
0.5000 0.4587 0.1046 Ga
0.5000 0.8954 0.5413 Ga
0.5000 0.8958 0.1042 Ga
0.0000 0.0352 0.3925 Ga
0.0000 0.6072 0.3928 Ga
0.0000 0.0834 0.9166 Ce
0.5000 0.4165 0.5835 Th

***

Entry 4:
Sr3TcBr, relaxed, DFT PBE; VASP energy = -3.318 eV per atom; theoretical density = 3.815 g cm⁻³; raw formation energy = 0.0985 eV per atom; M_tot = 0.00 μB/atom; polymorph energy (0 for the lowest one) = 0.000 eV per atom
1.0
-2.4801 -1.7669 -4.8982
5.0394 0.5513 -2.7505
1.3108 -5.4625 1.3068
Sr Br Tc
3 1 1
Direct
0.5000 0.0000 0.0000 Sr
0.0000 0.0000 0.5000 Sr
0.0000 0.5000 0.0000 Sr
0.5000 0.5000 0.5000 Br
0.0000 0.0000 0.0000 Tc

***

Entry 5:
Hg4Cl, relaxed, DFT PBE; VASP energy = -0.491 eV per atom; theoretical density = 6.376 g cm⁻³; raw formation energy = 0.1199 eV per atom; M_tot = 0.00 μB/atom; polymorph energy (0 for the lowest one) = 0.236 eV per atom
1.0
6.0203 0.0000 0.0000
0.0000 6.0203 0.0000
0.0000 0.0000 6.0203
Hg Cl
4 1
Direct
0.0000 0.5000 0.5000 Hg
0.5000 0.5000 0.0000 Hg
0.0000 0.0000 0.0000 Hg
0.5000 0.0000 0.5000 Hg
0.5000 0.5000 0.5000 Cl

***

Entry 6:
Li2Cu2S3, relaxed, DFT PBE; VASP energy = -4.093 eV per atom; theoretical density = 3.378 g cm⁻³; raw formation energy = -0.6067 eV per atom; M_tot = 0.00 μB/atom
1.0
8.9928 -0.0949 0.0895
0.9737 8.9405 0.0895
2.2577 2.0038 5.8339
S Cu Li
12 8 8
Direct
0.4035 0.8554 0.7885 S
0.2817 0.4343 0.2211 S
0.2138 0.9979 0.3145 S
0.8554 0.4035 0.2885 S
0.4343 0.2817 0.7211 S
0.5657 0.7183 0.2789 S
0.0021 0.7862 0.1855 S
0.1446 0.5965 0.7115 S
0.9979 0.2138 0.8145 S
0.5965 0.1446 0.2115 S
0.7862 0.0021 0.6855 S
0.7183 0.5657 0.7789 S
0.3768 0.2198 0.1080 Cu
0.4327 0.9174 0.4107 Cu
0.2198 0.3768 0.6080 Cu
0.7802 0.6232 0.3920 Cu
0.0826 0.5673 0.0893 Cu
0.9174 0.4327 0.9107 Cu
0.6232 0.7802 0.8920 Cu
0.5673 0.0826 0.5893 Cu
0.7271 0.2729 0.7500 Li
0.2091 0.0470 0.9263 Li
0.2729 0.7271 0.2500 Li
0.7909 0.9530 0.0737 Li
0.4300 0.5700 0.7500 Li
0.0470 0.2091 0.4263 Li
0.5700 0.4300 0.2500 Li
0.9530 0.7909 0.5737 Li